The following is a PBE-GGA calculation of crystalline BeS at its relaxed geometry, from Alexandria via LeMat-Bulk.

abc: 8.802 9.269 7.017
angles: 90.00 90.00 90.00
Fractional coordinates of all 32 atoms:
1 Be 0.000 0.138 0.000
2 Be 0.250 0.612 0.250
3 S 0.192 0.000 0.000
4 S 0.692 0.000 0.500
5 S 0.692 0.500 0.000
6 Be 0.500 0.862 0.500
7 S 0.058 0.250 0.750
8 Be 0.000 0.362 0.500
9 S 0.942 0.250 0.250
10 S 0.558 0.250 0.250
11 Be 0.500 0.638 0.000
12 S 0.058 0.750 0.250
13 Be 0.500 0.362 0.000
14 Be 0.750 0.888 0.750
15 S 0.308 0.000 0.500
16 Be 0.250 0.888 0.250
17 S 0.808 0.000 0.000
18 Be 0.750 0.112 0.250
19 Be 0.000 0.862 0.000
20 Be 0.500 0.138 0.500
21 Be 0.750 0.388 0.250
22 Be 0.250 0.112 0.750
23 Be 0.250 0.388 0.750
24 Be 0.750 0.612 0.750
25 S 0.942 0.750 0.750
26 S 0.308 0.500 0.000
27 S 0.558 0.750 0.750
28 Be 0.000 0.638 0.500
29 S 0.808 0.500 0.500
30 S 0.442 0.250 0.750
31 S 0.442 0.750 0.250
32 S 0.192 0.500 0.500

ΔE_f (raw): -0.8843 eV per atom
Symmetry: No. 70
Polymorph energy (0 for the lowest one): 0.183 eV per atom
Crystal system: orthorhombic
N(E_F): 0.0000 states/eV/atom